(1)
KTl2Cr PBE optimized geometry; distance to the lowest polymorph of the same formula = 0.0964 eV/atom; energy of formation = 148 kJ/mol of formula units
1.0
4.829 -0.025 0.033
3.682 3.125 0.033
0.870 0.317 8.069
Cr K Tl
1 1 2
direct
0.750 0.750 0.750 Cr
0.250 0.250 0.250 K
0.011 0.011 0.936 Tl
0.489 0.489 0.564 Tl

---

(2)
KTl2Cr PBE optimized geometry; distance to the lowest polymorph of the same formula = 0.2475 eV/atom; energy of formation = 206 kJ/mol of formula units
1.0
5.728 0.000 0.000
0.000 5.728 0.000
2.864 2.864 9.562
Cr Tl K
2 4 2
direct
0.000 0.000 0.000 Cr
0.750 0.250 0.500 Cr
0.779 0.125 0.250 Tl
0.971 0.625 0.250 Tl
0.375 0.221 0.750 Tl
0.875 0.029 0.750 Tl
0.500 0.500 0.000 K
0.250 0.750 0.500 K

---

(3)
KTlCr2 PBE optimized geometry; distance to the lowest polymorph of the same formula = 0.5405 eV/atom; energy of formation = 411 kJ/mol of formula units
1.0
5.308 0.000 0.000
2.654 4.597 0.000
2.654 1.532 4.334
Cr K Tl
2 1 1
direct
0.000 0.000 0.000 Cr
0.250 0.250 0.250 Cr
0.500 0.500 0.500 K
0.750 0.750 0.750 Tl

---

(4)
KTlCr2 PBE optimized geometry; distance to the lowest polymorph of the same formula = 0.4789 eV/atom; energy of formation = 388 kJ/mol of formula units
1.0
0.000 3.596 3.596
3.596 0.000 3.596
3.596 3.596 0.000
Cr Tl K
2 1 1
direct
0.250 0.250 0.250 Cr
0.750 0.750 0.750 Cr
0.500 0.500 0.500 Tl
0.000 0.000 0.000 K

---

(5)
KTl3Cr PBE optimized geometry; distance to the lowest polymorph of the same formula = 0.0000 eV/atom; energy of formation = 114 kJ/mol of formula units
1.0
5.357 0.000 0.000
0.000 5.357 0.000
0.000 0.000 5.357
Cr Tl K
1 3 1
direct
0.000 0.000 0.000 Cr
0.000 0.500 0.000 Tl
0.000 0.000 0.500 Tl
0.500 0.000 0.000 Tl
0.500 0.500 0.500 K

---

(6)
KTlCr2 PBE optimized geometry; distance to the lowest polymorph of the same formula = 0.5463 eV/atom; energy of formation = 414 kJ/mol of formula units
1.0
3.550 0.000 0.000
0.000 5.536 0.000
0.000 0.000 5.212
Cr K Tl
2 1 1
direct
0.000 0.000 0.000 Cr
0.500 0.500 0.000 Cr
0.500 0.000 0.500 K
0.000 0.500 0.500 Tl

---

(7)
KTlCr2 PBE optimized geometry; distance to the lowest polymorph of the same formula = 0.0000 eV/atom; energy of formation = 203 kJ/mol of formula units
1.0
-1.761 -0.039 2.758
2.610 -1.080 1.652
2.349 8.153 1.616
Cr K Tl
2 1 1
direct
0.000 0.000 0.048 Cr
0.500 0.500 0.157 Cr
0.000 0.000 0.485 K
0.500 0.500 0.810 Tl

---

(8)
KTl2Cr PBE optimized geometry; distance to the lowest polymorph of the same formula = 0.1095 eV/atom; energy of formation = 153 kJ/mol of formula units
1.0
3.874 0.000 0.000
0.000 3.874 0.000
0.000 0.000 8.301
Cr K Tl
1 1 2
direct
0.000 0.000 0.417 Cr
0.500 0.500 0.742 K
0.000 0.000 0.049 Tl
0.500 0.500 0.292 Tl

---

Question: The highest distance to the lowest polymorph of the same formula belongs to which entry?
Answer: number 6

---

Question: distance to the lowest polymorph of the same formula of number 1 (KTl2Cr)?
Answer: 0.0964 eV/atom

---

Question: What is the energy of formation in the second record?
Answer: 206 kJ/mol of formula units